Record 1
# YOs2Cl

A crystal of YOs2Cl relaxed with PBEsol (meta-GGA SCAN, the Alexandria database).

Computed properties:
- ΔE_f (raw) (meV per atom) = 617
- total energy (eV/atom) = -44.278
- theoretical density (Mg/m³) = 11.50
- density of states at the Fermi level (states/eV per atom) = 1.01

a b c (Å): 4.917 10.114 2.932
angles (deg): 90.00 90.00 90.00
Fractional positions:
Y (0.000, 0.000, 0.000)
Y (0.500, 0.500, 0.000)
Os (0.250, 0.250, 0.500)
Os (0.250, 0.750, 0.500)
Os (0.750, 0.250, 0.500)
Os (0.750, 0.750, 0.500)
Cl (0.000, 0.500, 0.000)
Cl (0.500, 0.000, 0.000)


Record 2
# CrSnP2O8

A crystal of CrSnP2O8 relaxed with PBEsol (meta-GGA SCAN, the Alexandria database).

Computed properties:
- ΔE_f (raw) (meV per atom) = -2204
- total energy (eV/atom) = -12.616
- theoretical density (Mg/m³) = 4.14
- density of states at the Fermi level (states/eV per atom) = 0.13

a b c (Å): 4.885 5.973 9.921
angles (deg): 90.00 91.30 90.00
Fractional positions:
Cr (0.077, 0.250, 0.222)
Cr (0.923, 0.750, 0.778)
Sn (0.435, 0.250, 0.723)
Sn (0.565, 0.750, 0.277)
P (0.109, 0.750, 0.085)
P (0.364, 0.750, 0.595)
P (0.636, 0.250, 0.405)
P (0.891, 0.250, 0.915)
O (0.168, 0.750, 0.935)
O (0.201, 0.250, 0.895)
O (0.215, 0.548, 0.666)
O (0.215, 0.952, 0.666)
O (0.255, 0.548, 0.162)
O (0.255, 0.952, 0.162)
O (0.301, 0.750, 0.443)
O (0.329, 0.250, 0.377)
O (0.671, 0.750, 0.623)
O (0.699, 0.250, 0.557)
O (0.745, 0.048, 0.838)
O (0.745, 0.452, 0.838)
O (0.785, 0.048, 0.334)
O (0.785, 0.452, 0.334)
O (0.799, 0.750, 0.105)
O (0.832, 0.250, 0.065)


Record 3
# SrInCu2

A crystal of SrInCu2 relaxed with PBEsol (meta-GGA SCAN, the Alexandria database).

Computed properties:
- total energy (eV/atom) = -21.313
- theoretical density (Mg/m³) = 6.68
- density of states at the Fermi level (states/eV per atom) = 0.42

a b c (Å): 4.452 4.452 8.265
angles (deg): 90.00 90.00 90.00
Fractional positions:
Sr (0.000, 0.000, 0.000)
Sr (0.500, 0.500, 0.500)
In (0.000, 0.500, 0.750)
In (0.500, 0.000, 0.250)
Cu (0.000, 0.000, 0.500)
Cu (0.000, 0.500, 0.250)
Cu (0.500, 0.000, 0.750)
Cu (0.500, 0.500, 0.000)


Record 4
# La3Rh

A crystal of La3Rh relaxed with PBEsol (meta-GGA SCAN, the Alexandria database).

Computed properties:
- total energy (eV/atom) = -41.284
- theoretical density (Mg/m³) = 7.39
- density of states at the Fermi level (states/eV per atom) = 1.12

a b c (Å): 7.235 10.001 6.458
angles (deg): 90.00 90.00 90.00
Fractional positions:
La (0.036, 0.250, 0.146)
La (0.170, 0.066, 0.665)
La (0.170, 0.434, 0.665)
La (0.330, 0.566, 0.165)
La (0.330, 0.934, 0.165)
La (0.464, 0.750, 0.646)
La (0.536, 0.250, 0.354)
La (0.670, 0.066, 0.835)
La (0.670, 0.434, 0.835)
La (0.830, 0.566, 0.335)
La (0.830, 0.934, 0.335)
La (0.964, 0.750, 0.854)
Rh (0.126, 0.750, 0.422)
Rh (0.374, 0.250, 0.922)
Rh (0.626, 0.750, 0.078)
Rh (0.874, 0.250, 0.578)


Record 5
# KH3Au

A crystal of KH3Au relaxed with PBEsol (meta-GGA SCAN, the Alexandria database).

Computed properties:
- energy relative to the lowest polymorph listed for this composition (meV/atom) = 78
- total energy (eV/atom) = -17.747
- theoretical density (Mg/m³) = 7.04
- density of states at the Fermi level (states/eV per atom) = 0.23

a b c (Å): 3.834 3.834 3.834
angles (deg): 90.00 90.00 90.00
Fractional positions:
K (0.000, 0.000, 0.000)
H (0.000, 0.500, 0.500)
H (0.500, 0.000, 0.500)
H (0.500, 0.500, 0.000)
Au (0.500, 0.500, 0.500)


Record 6
# ZrSb3C

A crystal of ZrSb3C relaxed with PBEsol (meta-GGA SCAN, the Alexandria database).

Computed properties:
- ΔE_f (raw) (meV per atom) = 1590
- total energy (eV/atom) = -28.926
- theoretical density (Mg/m³) = 4.86
- density of states at the Fermi level (states/eV per atom) = 1.09

a b c (Å): 5.429 5.429 5.429
angles (deg): 90.00 90.00 90.00
Fractional positions:
Zr (0.000, 0.000, 0.000)
Sb (0.000, 0.000, 0.500)
Sb (0.000, 0.500, 0.000)
Sb (0.500, 0.000, 0.000)
C (0.500, 0.500, 0.500)


Record 7
# LiP3C

A crystal of LiP3C relaxed with PBEsol (meta-GGA SCAN, the Alexandria database).

Computed properties:
- total energy (eV/atom) = -6.612
- theoretical density (Mg/m³) = 2.66
- density of states at the Fermi level (states/eV per atom) = 0.40

a b c (Å): 4.119 4.119 4.119
angles (deg): 90.00 90.00 90.00
Fractional positions:
Li (0.000, 0.000, 0.000)
P (0.000, 0.000, 0.500)
P (0.000, 0.500, 0.000)
P (0.500, 0.000, 0.000)
C (0.500, 0.500, 0.500)


Record 8
# Na2NiO3

A crystal of Na2NiO3 relaxed with PBEsol (meta-GGA SCAN, the Alexandria database).

Computed properties:
- ΔE_f (raw) (meV per atom) = -1439
- total energy (eV/atom) = -8.655
- theoretical density (Mg/m³) = 4.21

a b c (Å): 5.144 5.144 5.547
angles (deg): 99.17 99.17 120.07
Fractional positions:
Na (0.000, 0.000, 0.000)
Na (0.157, 0.843, 0.500)
Na (0.500, 0.500, 0.500)
Na (0.843, 0.157, 0.500)
Ni (0.333, 0.667, 0.000)
Ni (0.667, 0.333, 0.000)
O (0.067, 0.444, 0.196)
O (0.308, 0.308, 0.803)
O (0.444, 0.067, 0.196)
O (0.556, 0.933, 0.804)
O (0.692, 0.692, 0.197)
O (0.933, 0.556, 0.804)


Record 9
# CuTcW2

A crystal of CuTcW2 relaxed with PBEsol (meta-GGA SCAN, the Alexandria database).

Computed properties:
- energy relative to the lowest polymorph listed for this composition (meV/atom) = 57
- total energy (eV/atom) = -47.123
- theoretical density (Mg/m³) = 15.43
- density of states at the Fermi level (states/eV per atom) = 0.51

a b c (Å): 3.203 3.203 5.552
angles (deg): 90.00 90.00 90.00
Fractional positions:
Cu (0.000, 0.000, 0.000)
Tc (0.000, 0.000, 0.500)
W (0.500, 0.500, 0.236)
W (0.500, 0.500, 0.764)


Record 10
# Be2FeRu

A crystal of Be2FeRu relaxed with PBEsol (meta-GGA SCAN, the Alexandria database).

Computed properties:
- total energy (eV/atom) = -15.602
- theoretical density (Mg/m³) = 7.42
- density of states at the Fermi level (states/eV per atom) = 0.46

a b c (Å): 2.739 3.731 7.661
angles (deg): 90.00 90.00 90.00
Fractional positions:
Be (0.000, 0.000, 0.000)
Be (0.000, 0.500, 0.271)
Be (0.500, 0.000, 0.771)
Be (0.500, 0.500, 0.500)
Fe (0.000, 0.500, 0.749)
Fe (0.500, 0.000, 0.249)
Ru (0.000, 0.000, 0.512)
Ru (0.500, 0.500, 0.012)


Record 11
# HgMoSe2Br

A crystal of HgMoSe2Br relaxed with PBEsol (meta-GGA SCAN, the Alexandria database).

Computed properties:
- ΔE_f (raw) (meV per atom) = 40
- total energy (eV/atom) = -32.493
- theoretical density (Mg/m³) = 7.27
- density of states at the Fermi level (states/eV per atom) = 0.73

a b c (Å): 4.843 4.843 5.204
angles (deg): 90.00 90.00 90.00
Fractional positions:
Hg (0.000, 0.000, 0.000)
Mo (0.500, 0.500, 0.500)
Se (0.000, 0.500, 0.500)
Se (0.500, 0.000, 0.500)
Br (0.500, 0.500, 0.000)


Record 12
# TaGa3C

A crystal of TaGa3C relaxed with PBEsol (meta-GGA SCAN, the Alexandria database).

Computed properties:
- energy relative to the lowest polymorph listed for this composition (meV/atom) = 868
- total energy (eV/atom) = -23.196
- theoretical density (Mg/m³) = 5.38
- density of states at the Fermi level (states/eV per atom) = 0.57

a b c (Å): 4.988 4.988 4.988
angles (deg): 90.00 90.00 90.00
Fractional positions:
Ta (0.000, 0.000, 0.000)
Ga (0.000, 0.000, 0.500)
Ga (0.000, 0.500, 0.000)
Ga (0.500, 0.000, 0.000)
C (0.500, 0.500, 0.500)


Record 13
# AlGeO2

A crystal of AlGeO2 relaxed with PBEsol (meta-GGA SCAN, the Alexandria database).

Computed properties:
- ΔE_f (raw) (meV per atom) = -1074
- total energy (eV/atom) = -10.899
- theoretical density (Mg/m³) = 4.32
- density of states at the Fermi level (states/eV per atom) = 0.61

a b c (Å): 3.117 3.117 18.017
angles (deg): 90.00 90.00 120.00
Fractional positions:
Al (0.000, 0.000, 0.000)
Al (0.333, 0.667, 0.667)
Al (0.667, 0.333, 0.333)
Ge (0.000, 0.000, 0.500)
Ge (0.333, 0.667, 0.167)
Ge (0.667, 0.333, 0.833)
O (0.000, 0.000, 0.104)
O (0.000, 0.000, 0.896)
O (0.333, 0.667, 0.563)
O (0.333, 0.667, 0.770)
O (0.667, 0.333, 0.230)
O (0.667, 0.333, 0.437)


Record 14
# MgInW2

A crystal of MgInW2 relaxed with PBEsol (meta-GGA SCAN, the Alexandria database).

Computed properties:
- energy relative to the lowest polymorph listed for this composition (meV/atom) = 110
- total energy (eV/atom) = -43.982
- theoretical density (Mg/m³) = 12.36
- density of states at the Fermi level (states/eV per atom) = 0.65

a b c (Å): 3.373 4.352 9.276
angles (deg): 90.00 90.00 90.00
Fractional positions:
Mg (0.000, 0.000, 0.000)
Mg (0.500, 0.500, 0.500)
In (0.000, 0.000, 0.500)
In (0.500, 0.500, 0.000)
W (0.000, 0.500, 0.250)
W (0.000, 0.500, 0.750)
W (0.500, 0.000, 0.250)
W (0.500, 0.000, 0.750)


Record 15
# FeBrF2

A crystal of FeBrF2 relaxed with PBEsol (meta-GGA SCAN, the Alexandria database).

Computed properties:
- ΔE_f (raw) (meV per atom) = -1011
- energy relative to the lowest polymorph listed for this composition (meV/atom) = 503
- total energy (eV/atom) = -12.178
- theoretical density (Mg/m³) = 4.40
- density of states at the Fermi level (states/eV per atom) = 0.41

a b c (Å): 2.839 2.839 28.165
angles (deg): 90.00 90.00 120.00
Fractional positions:
Fe (0.000, 0.000, 0.000)
Fe (0.333, 0.667, 0.667)
Fe (0.667, 0.333, 0.333)
Br (0.000, 0.000, 0.500)
Br (0.333, 0.667, 0.167)
Br (0.667, 0.333, 0.833)
F (0.000, 0.000, 0.061)
F (0.000, 0.000, 0.939)
F (0.333, 0.667, 0.606)
F (0.333, 0.667, 0.727)
F (0.667, 0.333, 0.273)
F (0.667, 0.333, 0.394)


Record 16
# HgPbAu2

A crystal of HgPbAu2 relaxed with PBEsol (meta-GGA SCAN, the Alexandria database).

Computed properties:
- energy relative to the lowest polymorph listed for this composition (meV/atom) = 0
- total energy (eV/atom) = -70.588
- theoretical density (Mg/m³) = 15.38
- density of states at the Fermi level (states/eV per atom) = 0.30

a b c (Å): 3.743 4.242 5.724
angles (deg): 90.00 107.71 90.00
Fractional positions:
Hg (0.000, 0.000, 0.000)
Pb (0.701, 0.500, 0.398)
Au (0.263, 0.000, 0.543)
Au (0.443, 0.500, 0.877)


Record 17
# Sr5Mg3

A crystal of Sr5Mg3 relaxed with PBEsol (meta-GGA SCAN, the Alexandria database).

Computed properties:
- energy relative to the lowest polymorph listed for this composition (meV/atom) = 26
- total energy (eV/atom) = -15.774
- theoretical density (Mg/m³) = 2.72
- density of states at the Fermi level (states/eV per atom) = 0.92

a b c (Å): 8.801 11.928 5.938
angles (deg): 90.00 90.00 90.00
Fractional positions:
Sr (0.000, 0.000, 0.000)
Sr (0.223, 0.500, 0.500)
Sr (0.250, 0.250, 0.000)
Sr (0.250, 0.750, 0.000)
Sr (0.277, 0.000, 0.500)
Sr (0.500, 0.500, 0.000)
Sr (0.723, 0.000, 0.500)
Sr (0.750, 0.250, 0.000)
Sr (0.750, 0.750, 0.000)
Sr (0.777, 0.500, 0.500)
Mg (0.000, 0.232, 0.500)
Mg (0.000, 0.500, 0.000)
Mg (0.000, 0.768, 0.500)
Mg (0.500, 0.000, 0.000)
Mg (0.500, 0.268, 0.500)
Mg (0.500, 0.732, 0.500)


Record 18
# SbIrRhI2

A crystal of SbIrRhI2 relaxed with PBEsol (meta-GGA SCAN, the Alexandria database).

Computed properties:
- ΔE_f (raw) (meV per atom) = 998
- total energy (eV/atom) = -42.125
- theoretical density (Mg/m³) = 7.81
- density of states at the Fermi level (states/eV per atom) = 0.56

a b c (Å): 5.396 5.396 4.896
angles (deg): 90.00 90.00 90.00
Fractional positions:
Sb (0.000, 0.000, 0.000)
Ir (0.000, 0.000, 0.500)
Rh (0.500, 0.500, 0.000)
I (0.000, 0.500, 0.500)
I (0.500, 0.000, 0.500)


Record 19
# ScNi2P

A crystal of ScNi2P relaxed with PBEsol (meta-GGA SCAN, the Alexandria database).

Computed properties:
- energy relative to the lowest polymorph listed for this composition (meV/atom) = 1
- total energy (eV/atom) = -14.801
- theoretical density (Mg/m³) = 6.13
- density of states at the Fermi level (states/eV per atom) = 0.53

a b c (Å): 3.353 4.094 7.627
angles (deg): 90.00 90.00 90.00
Fractional positions:
Sc (0.000, 0.000, 0.000)
Sc (0.500, 0.500, 0.500)
Ni (0.000, 0.000, 0.562)
Ni (0.000, 0.500, 0.778)
Ni (0.500, 0.000, 0.278)
Ni (0.500, 0.500, 0.062)
P (0.000, 0.500, 0.240)
P (0.500, 0.000, 0.740)


Record 20
# CdP2SO

A crystal of CdP2SO relaxed with PBEsol (meta-GGA SCAN, the Alexandria database).

Computed properties:
- ΔE_f (raw) (meV per atom) = 354
- total energy (eV/atom) = -13.060
- theoretical density (Mg/m³) = 4.04
- density of states at the Fermi level (states/eV per atom) = 0.55

a b c (Å): 3.763 3.763 6.457
angles (deg): 90.00 90.00 90.00
Fractional positions:
Cd (0.000, 0.000, 0.000)
P (0.000, 0.500, 0.500)
P (0.500, 0.000, 0.500)
S (0.500, 0.500, 0.000)
O (0.500, 0.500, 0.500)